No. 1
! GGA-PBE Ac2CuOsO6, relaxed; values from VASP
! * spin magnetization: 3.023 μB per cell
! * space-group type: C2/m
! * formation energy (no corrections): -2.088 eV/atom
! * VASP energy: -7.417 eV per atom
! * V: 13.7 Å³ per atom
&SYSTEM
  ibrav = 0, nat = 10, ntyp = 4
/
ATOMIC_SPECIES
Ac 227.00 Ac.upf
Cu 63.55 Cu.upf
Os 190.23 Os.upf
O 16.00 O.upf
CELL_PARAMETERS angstrom
-1.2235 -4.9424 2.7268
3.3912 1.5338 4.4920
-2.1864 -0.0146 5.3436
ATOMIC_POSITIONS angstrom
Ac -1.2130 -3.3465 5.8496
Ac 1.1944 -0.0767 6.7128
Cu 1.0838 -1.7043 3.6094
Os 0.0000 0.0000 0.0000
O -0.7352 -0.6786 4.1305
O 1.1712 -2.7444 5.6000
O 0.2259 -0.2285 9.7669
O -0.2446 -3.1946 2.7955
O -1.1899 -0.6787 6.9624
O 0.7165 -2.7445 8.4319

***

No. 2
! GGA-PBE POsRuN, relaxed; values from VASP
! * spin magnetization: 0.000 μB per cell
! * space-group type: Pmm2
! * formation energy (no corrections): 0.063 eV/atom
! * VASP energy: -8.497 eV per atom
! * V: 13.7 Å³ per atom
&SYSTEM
  ibrav = 0, nat = 4, ntyp = 4
/
ATOMIC_SPECIES
P 30.97 P.upf
Os 190.23 Os.upf
Ru 101.07 Ru.upf
N 14.01 N.upf
CELL_PARAMETERS angstrom
3.3347 0.0000 0.0000
0.0000 2.9248 0.0000
0.0000 0.0000 5.6281
ATOMIC_POSITIONS angstrom
P 1.6674 1.4624 2.1396
Os 1.6674 0.0000 3.9837
Ru 0.0000 0.0000 1.2410
N 0.0000 0.0000 4.8875

***

No. 3
! GGA-PBE CsAcSe2, relaxed; values from VASP
! * spin magnetization: 0.000 μB per cell
! * space-group type: R3m
! * formation energy (no corrections): -1.786 eV/atom
! * VASP energy: -4.768 eV per atom
! * V: 39.5 Å³ per atom
&SYSTEM
  ibrav = 0, nat = 4, ntyp = 3
/
ATOMIC_SPECIES
Cs 132.91 Cs.upf
Ac 227.00 Ac.upf
Se 78.96 Se.upf
CELL_PARAMETERS angstrom
-1.0637 -0.3481 -4.4770
-4.2744 -1.1880 -1.2705
-4.0438 7.7470 -2.0201
ATOMIC_POSITIONS angstrom
Cs -4.7041 3.1532 -3.8844
Ac -7.5993 6.7111 -5.8516
Se -3.5953 6.1111 -1.9994
Se -2.2181 1.0879 -1.9360

***

No. 4
! GGA-PBE CrTcPb2, relaxed; values from VASP
! * spin magnetization: 0.000 μB per cell
! * space-group type: R3m
! * VASP energy: -6.356 eV per atom
! * calculated formation energy: 0.496 eV/atom
! * V: 22.8 Å³ per atom
&SYSTEM
  ibrav = 0, nat = 4, ntyp = 3
/
ATOMIC_SPECIES
Cr 52.00 Cr.upf
Pb 207.20 Pb.upf
Tc 98.00 Tc.upf
CELL_PARAMETERS angstrom
-0.2781 -9.8968 3.9816
2.7943 -9.7808 3.2258
1.8036 -8.6345 6.0059
ATOMIC_POSITIONS angstrom
Cr 3.3168 -21.7391 10.1456
Pb 0.0836 -0.5478 0.2556
Pb 1.0018 -6.5658 3.0642
Tc 2.0774 -13.6156 6.3544

***

No. 5
! GGA-PBE Tb2NdRh2, relaxed; values from VASP
! * spin magnetization: 0.000 μB per cell
! * space-group type: Cmcm
! * VASP energy: -6.323 eV per atom
! * calculated formation energy: -0.576 eV/atom
! * V: 24.1 Å³ per atom
&SYSTEM
  ibrav = 0, nat = 10, ntyp = 3
/
ATOMIC_SPECIES
Tb 158.93 Tb.upf
Nd 144.24 Nd.upf
Rh 102.91 Rh.upf
CELL_PARAMETERS angstrom
3.8136 0.0000 -0.5847
0.0000 4.7125 0.0000
0.1019 0.0000 13.3946
ATOMIC_POSITIONS angstrom
Tb 0.2054 1.1781 1.3396
Tb 3.7101 3.5344 11.4704
Tb 2.8507 1.1781 5.8645
Tb 1.0648 3.5344 6.9455
Nd 1.4619 1.1781 9.5357
Nd 2.4536 3.5344 3.2743
Rh 0.6498 1.1781 4.2382
Rh 3.2658 3.5344 8.5718
Rh 1.8805 1.1781 12.2658
Rh 2.0350 3.5344 0.5442

***

No. 6
! GGA-PBE As4H3Pd12, relaxed; values from VASP
! * spin magnetization: 0.000 μB per cell
! * space-group type: Im-3
! * VASP energy: -4.849 eV per atom
! * V: 16.8 Å³ per atom
&SYSTEM
  ibrav = 0, nat = 19, ntyp = 3
/
ATOMIC_SPECIES
As 74.92 As.upf
H 1.01 H.upf
Pd 106.42 Pd.upf
CELL_PARAMETERS angstrom
7.4503 0.0000 0.0000
-2.4834 7.0242 0.0000
-2.4834 -3.5121 6.0832
ATOMIC_POSITIONS angstrom
As -1.2417 -1.7561 3.0416
As 1.2417 1.7561 3.0416
As 3.7252 0.0000 0.0000
As -1.2417 3.5121 0.0000
H 2.4834 -1.7561 3.0416
H 2.4834 3.5121 0.0000
H -2.4834 1.7561 3.0416
Pd 1.5906 0.5258 5.0880
Pd 0.8928 2.9863 0.9952
Pd 0.0345 -1.6749 5.0880
Pd -0.0345 3.5689 3.9945
Pd 4.9324 1.7804 1.0935
Pd -0.8928 0.6313 3.0838
Pd -1.5906 4.6693 2.0886
Pd -2.4490 1.7317 4.9897
Pd 2.4490 5.1871 0.9952
Pd 2.5179 -0.0568 2.0886
Pd 3.3763 2.8808 2.9994
Pd 4.0741 -1.1571 3.9945

***

No. 7
! GGA-PBE AlInBi, relaxed; values from VASP
! * spin magnetization: 0.000 μB per cell
! * space-group type: P1
! * VASP energy: -3.324 eV per atom
! * calculated formation energy: 0.130 eV/atom
! * V: 27.4 Å³ per atom
&SYSTEM
  ibrav = 0, nat = 6, ntyp = 3
/
ATOMIC_SPECIES
Al 26.98 Al.upf
Bi 208.98 Bi.upf
In 114.82 In.upf
CELL_PARAMETERS angstrom
3.2780 0.1180 0.0583
-0.3718 6.5737 -0.0479
-1.4556 -0.2742 7.5957
ATOMIC_POSITIONS angstrom
Al 1.0555 4.1211 2.2554
Al -0.6731 6.2639 2.2774
Bi 1.1611 1.8011 3.9381
Bi 1.4368 0.3410 7.2316
In 1.2738 3.4511 7.4563
In -0.5313 4.7785 4.9634

***

No. 8
! GGA-PBE V2InRh2, relaxed; values from VASP
! * spin magnetization: 0.002 μB per cell
! * space-group type: P4/mbm
! * VASP energy: -7.272 eV per atom
! * calculated formation energy: -0.136 eV/atom
! * V: 15.5 Å³ per atom
&SYSTEM
  ibrav = 0, nat = 10, ntyp = 3
/
ATOMIC_SPECIES
In 114.82 In.upf
Rh 102.91 Rh.upf
V 50.94 V.upf
CELL_PARAMETERS angstrom
-1.1781 2.2734 6.9790
4.3857 -5.4498 2.5156
2.2271 1.7088 -0.1807
ATOMIC_POSITIONS angstrom
In 0.0000 0.0000 0.0000
In 1.6038 -1.5882 4.7473
Rh 3.8817 -2.4402 2.8703
Rh 3.9123 -2.0735 6.7153
Rh 1.5530 0.9726 6.4436
Rh 1.5224 0.6059 2.5986
V 3.4444 -3.9643 4.9625
V 1.6257 -1.2996 7.7467
V -0.2368 0.7879 4.5321
V 1.5819 -1.8768 1.7479

***

No. 9
! GGA-PBE YMo2Rh, relaxed; values from VASP
! * spin magnetization: 0.000 μB per cell
! * space-group type: R-3m
! * VASP energy: -8.389 eV per atom
! * calculated formation energy: 0.480 eV/atom
! * V: 17.9 Å³ per atom
&SYSTEM
  ibrav = 0, nat = 4, ntyp = 3
/
ATOMIC_SPECIES
Mo 95.94 Mo.upf
Rh 102.91 Rh.upf
Y 88.91 Y.upf
CELL_PARAMETERS angstrom
-2.0082 8.5783 -4.6958
-4.4465 7.1576 -5.3541
-4.2340 8.5835 -2.8403
ATOMIC_POSITIONS angstrom
Mo -10.5846 24.0824 -12.7647
Mo -5.4485 12.3967 -6.5708
Rh -2.6722 6.0798 -3.2226
Y -8.0166 18.2395 -9.6677

***

No. 10
! GGA-PBE Ce8Si2Ru, relaxed; values from VASP
! * spin magnetization: 1.243 μB per cell
! * space-group type: C2/m
! * formation energy (no corrections): -0.299 eV/atom
! * VASP energy: -6.444 eV per atom
! * V: 24.1 Å³ per atom
&SYSTEM
  ibrav = 0, nat = 11, ntyp = 3
/
ATOMIC_SPECIES
Ce 140.12 Ce.upf
Si 28.09 Si.upf
Ru 101.07 Ru.upf
CELL_PARAMETERS angstrom
4.6581 0.0000 0.0000
0.0000 7.3909 0.0719
-2.3291 -3.0639 7.6769
ATOMIC_POSITIONS angstrom
Ce 0.0000 1.5465 6.7223
Ce 2.3291 5.7568 2.7611
Ce 2.3291 3.4878 4.4847
Ce 2.3291 -1.4297 7.4686
Ce 0.0000 0.8392 3.2641
Ce 0.0000 -1.4298 4.9877
Ce 2.3291 2.7805 1.0265
Ce 0.0000 5.7567 0.2802
Si 2.3291 0.5372 5.1193
Si 0.0000 3.7898 2.6295
Ru 2.3291 0.0000 0.0000

***

No. 11
! GGA-PBE AgH3Pd3, relaxed; values from VASP
! * spin magnetization: 0.000 μB per cell
! * space-group type: Pm-3n
! * VASP energy: -4.111 eV per atom
! * V: 10.8 Å³ per atom
&SYSTEM
  ibrav = 0, nat = 14, ntyp = 3
/
ATOMIC_SPECIES
H 1.01 H.upf
Pd 106.42 Pd.upf
Ag 107.87 Ag.upf
CELL_PARAMETERS angstrom
-1.6287 -3.5242 -3.6418
4.1477 1.2709 -3.0848
2.9118 -3.7815 2.3571
ATOMIC_POSITIONS angstrom
H 1.0487 -2.7718 0.2681
H 2.8018 -0.3099 -0.9531
H 2.2964 -0.8089 -4.1345
H 0.2344 -4.5339 -1.5528
H 4.2577 -2.2007 0.2254
H 0.2226 -1.4443 -2.5921
Pd 2.4928 -1.5730 0.4074
Pd 4.5667 -0.9376 -1.1350
Pd 1.3695 -4.5982 -0.0530
Pd 0.8523 -2.0077 -4.2737
Pd -0.0864 -2.7075 -1.2316
Pd 1.6667 -0.2456 -2.4529
Ag 2.7154 -3.0174 -2.1847
Ag 0.0000 0.0000 0.0000

***

No. 12
! GGA-PBE Na2LiThS4, relaxed; values from VASP
! * spin magnetization: 2.113 μB per cell
! * space-group type: Imma
! * formation energy (no corrections): -1.316 eV/atom
! * VASP energy: -4.876 eV per atom
! * V: 23.0 Å³ per atom
&SYSTEM
  ibrav = 0, nat = 16, ntyp = 4
/
ATOMIC_SPECIES
Na 22.99 Na.upf
Li 6.94 Li.upf
Th 232.04 Th.upf
S 32.06 S.upf
CELL_PARAMETERS angstrom
-3.5979 0.8077 7.1356
3.2321 -6.9178 2.4921
4.7299 6.0711 -3.1436
ATOMIC_POSITIONS angstrom
Na -1.7989 0.4038 3.5678
Na 0.5660 3.4394 1.9960
Na 2.3650 3.0355 -1.5718
Na -0.1829 -3.0550 4.8138
Li 2.1821 -0.0195 3.2420
Li 1.1320 6.8788 3.9919
Th 1.6161 -3.4589 1.2461
Th 0.3831 0.3843 6.8098
S 6.2363 1.0490 0.4147
S 0.5559 1.8761 4.4546
S 3.8082 -1.9151 2.0293
S -1.8723 -1.0880 6.0695
S 4.3478 1.4484 4.1527
S 2.1154 -1.4131 5.6298
S 2.2488 1.3740 0.8543
S 0.0163 -1.4874 2.3313